No. 1
## ScInCl3 (GGA-PBEsol)

Data for a relaxed ScInCl3 crystal.

a = 5.2792 Å, b = 5.2792 Å, c = 5.2792 Å
α = 90.00°, β = 90.00°, γ = 90.00°
Space group Pm-3m (No. 221)
One atom of each set of equivalent atoms:
Sc: 0.0000 0.0000 0.0000
In: 0.5000 0.5000 0.5000
Cl: 0.0000 0.5000 0.5000

Computed properties:
* E_tot: -17.5 eV for the cell shown
* D(E_F): 1.48 states/eV/atom
* magnetization: 1.71 μB/f.u.

No. 2
## NbReSbTe2 (GGA-PBEsol)

Data for a relaxed NbReSbTe2 crystal.

a = 5.1685 Å, b = 5.1685 Å, c = 5.0495 Å
α = 90.00°, β = 90.00°, γ = 90.00°
Space group P4/mmm (No. 123)
One atom of each set of equivalent atoms:
Nb: 0.0000 0.0000 0.0000
Re: 0.5000 0.5000 0.5000
Sb: 0.5000 0.5000 0.0000
Te: 0.0000 0.5000 0.5000

Computed properties:
* E_tot: -29.5 eV for the cell shown
* offset from the most stable computed form: 0.0 meV per atom
* D(E_F): 1.01 states/eV/atom
* magnetization: 3.19 μB/f.u.

No. 3
## Co2Ru (GGA-PBEsol)

Data for a relaxed Co2Ru crystal.

a = 9.1221 Å, b = 2.5685 Å, c = 5.9402 Å
α = 90.00°, β = 103.55°, γ = 90.00°
Space group Cm (No. 8)
One atom of each set of equivalent atoms:
Co: 0.0000 0.0000 0.0000
Co: 0.0569 0.0000 0.6144
Co: 0.1678 0.5000 0.3427
Co: 0.3371 0.0000 0.6707
Ru: 0.2206 0.5000 0.9429
Ru: 0.3910 0.0000 0.2847

Computed properties:
* E_tot: -101.1 eV for the cell shown
* D(E_F): 1.23 states/eV/atom
* magnetization: 2.09 μB/f.u.
* energy relative to the elements: 0.13 eV/atom

No. 4
## K2RbLuCl6 (GGA-PBEsol)

Data for a relaxed K2RbLuCl6 crystal.

a = 11.1186 Å, b = 11.1186 Å, c = 11.1186 Å
α = 90.00°, β = 90.00°, γ = 90.00°
Space group Fm-3m (No. 225)
One atom of each set of equivalent atoms:
K: 0.2500 0.2500 0.2500
Rb: 0.0000 0.0000 0.0000
Lu: 0.0000 0.0000 0.5000
Cl: 0.0000 0.0000 0.2716

Computed properties:
* E_tot: -161.8 eV for the cell shown
* D(E_F): 0.00 states/eV/atom
* magnetization: 0.00 μB/f.u.

No. 5
## MoH4O5 (GGA-PBEsol)

Data for a relaxed MoH4O5 crystal.

a = 3.9590 Å, b = 6.4607 Å, c = 7.4337 Å
α = 80.18°, β = 89.62°, γ = 89.84°
Space group P1 (No. 1)
One atom of each set of equivalent atoms:
Mo: 0.0000 0.0000 0.0000
Mo: 0.1378 0.0012 0.4971
H: 0.0539 0.5484 0.5040
H: 0.0594 0.5295 0.0074
H: 0.3661 0.5850 0.2156
H: 0.3690 0.6044 0.7183
H: 0.5591 0.4014 0.3499
H: 0.5599 0.7211 0.8586
H: 0.8430 0.6254 0.6787
H: 0.8483 0.5953 0.1796
O: 0.0383 0.2643 0.9738
O: 0.0556 0.6403 0.0859
O: 0.0585 0.6541 0.5861
O: 0.0715 0.9552 0.7653
O: 0.0725 0.9508 0.2649
O: 0.0800 0.2683 0.4646
O: 0.5588 0.9582 0.0091
O: 0.5740 0.5503 0.2958
O: 0.5754 0.5954 0.8001
O: 0.5757 0.9770 0.5096

Computed properties:
* E_tot: -130.3 eV for the cell shown
* offset from the most stable computed form: 0.0 meV per atom
* D(E_F): 0.00 states/eV/atom
* magnetization: 0.00 μB/f.u.

No. 6
## CeAgAu2 (GGA-PBEsol)

Data for a relaxed CeAgAu2 crystal.

a = 6.8794 Å, b = 6.8794 Å, c = 6.8794 Å
α = 90.00°, β = 90.00°, γ = 90.00°
Space group Fm-3m (No. 225)
One atom of each set of equivalent atoms:
Ce: 0.0000 0.0000 0.0000
Ag: 0.0000 0.0000 0.5000
Au: 0.2500 0.2500 0.2500

Computed properties:
* E_tot: -78.0 eV for the cell shown
* D(E_F): 1.39 states/eV/atom
* magnetization: 0.52 μB/f.u.
* energy relative to the elements: -0.44 eV/atom

Which value of D(E_F) does entry 2 give?
1.01 states/eV/atom